Density functional theory data (PBE-GGA) for a geometry-optimized Sr2YBeBr structure.

```
Sr2YBeBr
1.0
-1.765 -2.923 4.923
-3.217 -2.380 -2.566
4.042 -4.284 -1.094
Y Sr Br Be
1 2 1 1
direct
0.500 0.500 0.500
0.000 0.000 0.500
0.500 0.000 0.000
0.000 0.000 0.000
0.000 0.500 0.000
```

Symmetry: No. 123
Formation energy (no corrections) in eV per atom: 0.242
DFT total energy in eV per atom: -2.803